A plane-wave DFT calculation with GGA-PBE was carried out for a relaxed structure of BaRuBr.

Properties
Relative energy among the computed polymorphs: 0.2939 eV/atom
Fermi-level density of states: 3.824 states/eV/f.u.
Energy relative to the elements, uncorrected: 256 meV per atom

Cell: 4.025 4.617 10.456 Å, 90.00 90.00 90.00°
Fractional positions:
Ba1 0.000 0.000 0.000
Ba2 0.500 0.500 0.500
Ru1 0.000 0.000 0.447
Ru2 0.500 0.500 0.947
Br1 0.000 0.000 0.682
Br2 0.500 0.500 0.182